Here is a geometry-optimized Ba2InNiO5 structure from Alexandria. Energies are from PBE with a Hubbard U.

space group = Cmc2_1, No. 36
E = -5.5261 eV/atom
spin magnetization = 0.34 μB per atom

```
Ba2InNiO5
1.0
1.752 -7.681 0.000
1.752 7.681 0.000
0.000 0.000 10.978
Ba In Ni O
4 2 2 10
Direct
0.116 0.884 0.500
0.133 0.867 0.137
0.867 0.133 0.637
0.884 0.116 0.000
0.207 0.793 0.842
0.793 0.207 0.342
0.444 0.556 0.260
0.556 0.444 0.760
0.053 0.947 0.836
0.295 0.705 0.470
0.323 0.677 0.208
0.344 0.656 0.822
0.498 0.502 0.116
0.502 0.498 0.616
0.656 0.344 0.322
0.677 0.323 0.708
0.705 0.295 0.970
0.947 0.053 0.336
```